Entry 1:
DFT (PBE-GGA) results for a geometry-optimized Zn2ReRu structure.

Values from the calculation:
calculated total energy	-5.87	eV per atom
excess energy over the best structure of this formula in the dataset	223.8	meV per atom
E_form	76	kJ/mol of formula units
symmetry	No. 44
spin magnetization	0.0	μB/cell

Cell lengths 5.100, 5.100, 5.100 Å; angles 146.69, 128.54, 62.69 degrees
Fractional positions:
1 Zn 0.998 0.998 0.000
2 Zn 0.755 0.255 0.500
3 Ru 0.250 0.750 0.500
4 Re 0.498 0.498 0.000

=====

Entry 2:
DFT (PBE-GGA) results for a geometry-optimized Sr2Cu3NiAs4 structure.

Values from the calculation:
calculated total energy	-4.54	eV per atom
E_form	-520	kJ/mol of formula units
symmetry	No. 115
spin magnetization	0.0	μB/cell

Cell lengths 4.325, 4.325, 10.021 Å; angles 90.00, 90.00, 90.00 degrees
Fractional positions:
1 As 0.000 0.000 0.000
2 As 0.500 0.000 0.625
3 Sr 0.500 0.000 0.254
4 Cu 0.000 0.500 0.129
5 Ni 0.500 0.500 0.500
6 Sr 0.000 0.500 0.746
7 Cu 0.500 0.000 0.871
8 Cu 0.000 0.000 0.500
9 As 0.500 0.500 0.000
10 As 0.000 0.500 0.375

=====

Entry 3:
DFT (PBE-GGA) results for a geometry-optimized LiLa2Tl structure.

Values from the calculation:
calculated total energy	-3.55	eV per atom
E_form	-8	kJ/mol of formula units
symmetry	No. 166
spin magnetization	0.0	μB/cell

Cell lengths 11.218, 11.218, 11.218 Å; angles 18.87, 18.87, 18.87 degrees
Fractional positions:
1 Li 0.250 0.250 0.250
2 La 0.498 0.498 0.498
3 La 0.002 0.002 0.002
4 Tl 0.750 0.750 0.750

=====

Entry 4:
DFT (PBE-GGA) results for a geometry-optimized Ca3HoTe4 structure.

Values from the calculation:
calculated total energy	-4.43	eV per atom
formation energy (no corrections)	-1.539	eV per atom
symmetry	No. 65
spin magnetization	0.0	μB/cell

Cell lengths 4.444, 7.733, 7.733 Å; angles 109.30, 90.00, 90.00 degrees
Fractional positions:
1 Te 0.500 0.247 0.753
2 Ca 0.500 0.500 0.500
3 Te 0.000 0.244 0.244
4 Ca 0.000 0.000 0.500
5 Ho 0.500 0.000 0.000
6 Ca 0.000 0.500 0.000
7 Te 0.500 0.753 0.247
8 Te 0.000 0.756 0.756

=====

Entry 5:
DFT (PBE-GGA) results for a geometry-optimized ErZrMnCu structure.

Values from the calculation:
calculated total energy	-6.57	eV per atom
E_form	11	kJ/mol of formula units
symmetry	No. 216
spin magnetization	0.2	μB/cell

Cell lengths 4.658, 4.658, 4.658 Å; angles 60.00, 60.00, 60.00 degrees
Site moments in Bohr magnetons follow the coordinates.
Fractional positions:
1 Mn 0.000 0.000 0.000  0.47
2 Cu 0.500 0.500 0.500  -0.01
3 Er 0.750 0.750 0.750  -0.04
4 Zr 0.250 0.250 0.250  -0.14

=====

Entry 6:
DFT (PBE-GGA) results for a geometry-optimized LiCu2Ru structure.

Values from the calculation:
calculated total energy	-4.69	eV per atom
excess energy over the best structure of this formula in the dataset	117.6	meV per atom
E_form	60	kJ/mol of formula units
symmetry	No. 35
spin magnetization	0.0	μB/cell

Cell lengths 2.568, 2.568, 8.831 Å; angles 90.00, 90.00, 116.25 degrees
Fractional positions:
1 Cu 0.000 0.000 0.006
2 Li 0.000 0.000 0.497
3 Cu 0.500 0.500 0.245
4 Ru 0.500 0.500 0.752

=====

Entry 7:
DFT (PBE-GGA) results for a geometry-optimized La4SnPb structure.

Values from the calculation:
calculated total energy	-4.85	eV per atom
excess energy over the best structure of this formula in the dataset	125.1	meV per atom
E_form	-162	kJ/mol of formula units
symmetry	No. 47
spin magnetization	0.0	μB/cell

Cell lengths 3.421, 5.499, 9.610 Å; angles 90.00, 90.00, 90.00 degrees
Fractional positions:
1 La 0.499 0.497 0.327
2 La 0.499 0.497 0.669
3 La 0.498 0.997 0.836
4 Pb 0.999 0.997 0.498
5 Sn 0.999 0.497 0.998
6 La 0.498 0.997 0.161

=====

Entry 8:
DFT (PBE-GGA) results for a geometry-optimized HfS structure.

Values from the calculation:
calculated total energy	-8.02	eV per atom
formation energy (no corrections)	-0.975	eV per atom
symmetry	No. 83
spin magnetization	2.3	μB/cell

Cell lengths 10.939, 10.939, 3.416 Å; angles 90.00, 90.00, 90.00 degrees
Site moments in Bohr magnetons follow the coordinates.
Fractional positions:
1 Hf 0.125 0.432 0.000  0.22
2 S 0.710 0.522 0.500  0.01
3 S 0.921 0.326 0.000  0.00
4 S 0.326 0.079 0.000  0.00
5 S 0.290 0.478 0.500  0.01
6 S 0.478 0.710 0.500  0.01
7 S 0.079 0.674 0.000  0.00
8 Hf 0.306 0.249 0.500  0.09
9 Hf 0.568 0.125 0.000  0.22
10 Hf 0.875 0.568 0.000  0.22
11 S 0.674 0.921 0.000  0.00
12 Hf 0.751 0.306 0.500  0.09
13 Hf 0.249 0.694 0.500  0.09
14 Hf 0.694 0.751 0.500  0.09
15 Hf 0.432 0.875 0.000  0.22
16 S 0.522 0.290 0.500  0.01

=====

What did the second record say?
DFT (PBE-GGA) results for a geometry-optimized Sr2Cu3NiAs4 structure.

Values from the calculation:
calculated total energy	-4.54	eV per atom
E_form	-520	kJ/mol of formula units
symmetry	No. 115
spin magnetization	0.0	μB/cell

Cell lengths 4.325, 4.325, 10.021 Å; angles 90.00, 90.00, 90.00 degrees
Fractional positions:
1 As 0.000 0.000 0.000
2 As 0.500 0.000 0.625
3 Sr 0.500 0.000 0.254
4 Cu 0.000 0.500 0.129
5 Ni 0.500 0.500 0.500
6 Sr 0.000 0.500 0.746
7 Cu 0.500 0.000 0.871
8 Cu 0.000 0.000 0.500
9 As 0.500 0.500 0.000
10 As 0.000 0.500 0.375